Record 1
The following is a DFT calculation (PBE) of a geometry-optimized CaNd5Ho4 structure.

Structure (extended XYZ):
```
10
Lattice="3.631 0.000 0.000 0.000 3.631 0.000 0.000 0.000 25.757" Properties=species:S:1:pos:R:3 pbc="T T T"
Ca 0.000 0.000 0.000
Nd 1.816 1.816 2.822
Nd 1.816 1.816 7.841
Nd 1.816 1.816 12.879
Nd 1.816 1.816 17.916
Nd 1.816 1.816 22.935
Ho 0.000 0.000 5.281
Ho 0.000 0.000 10.352
Ho 0.000 0.000 15.405
Ho 0.000 0.000 20.476
```

Calculated values
formation energy from the elements = 0.3 eV/f.u.
SG = P4/mmm, No. 123
DOS at the Fermi energy = 14.3 states/eV per cell
total energy = -4.388 eV per atom
total moment = 0.0 μB/f.u.

***

Record 2
The following is a DFT calculation (PBE) of a geometry-optimized LiPrHo2 structure.

Structure (extended XYZ):
```
4
Lattice="1.766 1.020 11.305 -1.766 1.020 11.305 0.000 -2.039 11.305" Properties=species:S:1:pos:R:3 pbc="T T T"
Li 0.000 0.000 0.000
Pr 0.000 0.000 5.651
Ho 0.000 0.000 13.980
Ho 0.000 0.000 19.929
```

Calculated values
formation energy from the elements = 0.5 eV/f.u.
SG = R3m, No. 160
energy relative to the lowest polymorph listed for this composition = 0.0502 eV/atom
DOS at the Fermi energy = 4.7 states/eV per cell
total energy = -3.832 eV per atom
total moment = 0.0 μB/f.u.

***

Record 3
The following is a DFT calculation (PBE) of a geometry-optimized RbEr2O structure.

Structure (extended XYZ):
```
4
Lattice="1.769 1.022 10.057 -1.769 1.022 10.057 0.000 -2.043 10.057" Properties=species:S:1:pos:R:3 pbc="T T T"
Rb 0.000 0.000 0.000
Er 0.000 0.000 3.739
Er 0.000 0.000 26.433
O 0.000 0.000 15.086
```

Calculated values
SG = R-3m, No. 166
DOS at the Fermi energy = 3.5 states/eV per cell
total energy = -4.776 eV per atom
total moment = 0.0 μB/f.u.

***

Record 4
The following is a DFT calculation (PBE) of a geometry-optimized TcSb5 structure.

Structure (extended XYZ):
```
6
Lattice="1.698 -9.049 0.000 1.698 9.049 0.000 0.000 0.000 5.436" Properties=species:S:1:pos:R:3 pbc="T T T"
Tc 0.000 0.000 0.000
Sb 0.000 0.000 2.718
Sb 1.698 3.258 2.718
Sb 1.698 2.075 0.000
Sb 1.698 -2.075 0.000
Sb 1.698 -3.258 2.718
```

Calculated values
SG = Cmmm, No. 65
energy relative to the lowest polymorph listed for this composition = 0.0728 eV/atom
DOS at the Fermi energy = 2.9 states/eV per cell
total energy = -5.003 eV per atom
total moment = 0.0 μB/f.u.

***

Record 5
The following is a DFT calculation (PBE) of a geometry-optimized Hf5Au2C structure.

Structure (extended XYZ):
```
16
Lattice="2.194 -7.307 0.000 2.194 7.307 0.000 0.000 0.000 11.193" Properties=species:S:1:pos:R:3 pbc="T T T"
Hf 2.194 5.780 6.832
Hf 2.194 5.780 9.957
Hf 2.194 3.229 2.798
Hf 2.194 2.851 6.353
Hf 2.194 2.851 10.436
Hf 2.194 -2.851 0.757
Hf 2.194 -2.851 4.840
Hf 2.194 -3.229 8.395
Hf 2.194 -5.780 1.236
Hf 2.194 -5.780 4.361
Au 2.194 6.055 1.454
Au 2.194 6.055 4.142
Au 2.194 -6.055 7.051
Au 2.194 -6.055 9.739
C 2.194 4.181 8.395
C 2.194 -4.181 2.798
```

Calculated values
formation energy from the elements = -0.5 eV/f.u.
SG = Cmcm, No. 63
DOS at the Fermi energy = 11.4 states/eV per cell
total energy = -8.256 eV per atom
total moment = 0.0 μB/f.u.

***

Record 6
The following is a DFT calculation (PBE) of a geometry-optimized CePu2SeO4 structure.

Structure (extended XYZ):
```
8
Lattice="3.878 0.000 0.000 0.000 3.878 0.000 0.000 0.000 8.863" Properties=species:S:1:pos:R:3 pbc="T T T"
Ce 0.000 0.000 0.000
Pu 1.939 1.939 2.578
Pu 1.939 1.939 6.285
Se 0.000 0.000 4.432
O 0.000 1.939 1.411
O 0.000 1.939 7.453
O 1.939 0.000 1.411
O 1.939 0.000 7.453
```

Calculated values
SG = P4/mmm, No. 123
DOS at the Fermi energy = 19.8 states/eV per cell
total energy = -10.165 eV per atom
total moment = 10.0 μB/f.u.

***

Record 7
The following is a DFT calculation (PBE) of a geometry-optimized LiZnRu2Cl structure.

Structure (extended XYZ):
```
5
Lattice="4.460 0.000 0.000 0.000 4.460 0.000 0.000 0.000 4.104" Properties=species:S:1:pos:R:3 pbc="T T T"
Li 0.000 0.000 0.000
Zn 2.230 2.230 2.052
Ru 0.000 2.230 0.000
Ru 2.230 0.000 0.000
Cl 0.000 0.000 2.052
```

Calculated values
SG = P4/mmm, No. 123
DOS at the Fermi energy = 3.1 states/eV per cell
total energy = -3.668 eV per atom
total moment = 3.8 μB/f.u.

***

Record 8
The following is a DFT calculation (PBE) of a geometry-optimized SmDy2Cd2In2 structure.

Structure (extended XYZ):
```
7
Lattice="2.477 1.430 9.000 -2.477 1.430 9.000 0.000 -2.860 9.000" Properties=species:S:1:pos:R:3 pbc="T T T"
Sm 0.000 0.000 0.000
Dy 0.000 0.000 3.473
Dy 0.000 0.000 23.527
Cd 0.000 0.000 10.794
Cd 0.000 0.000 16.206
In 0.000 0.000 6.967
In 0.000 0.000 20.032
```

Calculated values
formation energy from the elements = -1.8 eV/f.u.
SG = R-3m, No. 166
DOS at the Fermi energy = 4.0 states/eV per cell
total energy = -3.297 eV per atom
total moment = 0.0 μB/f.u.

***

Record 9
The following is a DFT calculation (PBE) of a geometry-optimized Rb3La3SbS8 structure.

Structure (extended XYZ):
```
15
Lattice="4.221 2.437 7.823 -4.221 2.437 7.823 0.000 -4.874 7.823" Properties=species:S:1:pos:R:3 pbc="T T T"
Rb -2.111 -1.219 7.823
Rb -2.111 1.219 15.647
Rb 0.000 2.437 7.823
La -4.221 0.000 11.735
La -2.111 1.219 3.912
La 2.111 1.219 3.912
Sb 0.000 0.000 11.735
S 0.000 0.000 5.451
S -1.956 -1.129 13.196
S 0.000 -2.259 10.274
S -1.956 1.129 10.274
S 1.956 -1.129 13.196
S 0.000 2.259 13.196
S 1.956 1.129 10.274
S 0.000 0.000 18.019
```

Calculated values
SG = R-3m, No. 166
DOS at the Fermi energy = 2.5 states/eV per cell
total energy = -5.189 eV per atom
total moment = 0.0 μB/f.u.

***

Record 10
The following is a DFT calculation (PBE) of a geometry-optimized TbCeMnCu structure.

Structure (extended XYZ):
```
4
Lattice="0.000 3.493 3.493 3.493 0.000 3.493 3.493 3.493 0.000" Properties=species:S:1:pos:R:3 pbc="T T T"
Tb 0.000 0.000 0.000
Ce 3.493 3.493 3.493
Mn 5.239 5.239 5.239
Cu 1.746 1.746 1.746
```

Calculated values
formation energy from the elements = 0.3 eV/f.u.
SG = F-43m, No. 216
DOS at the Fermi energy = 6.4 states/eV per cell
total energy = -5.884 eV per atom
total moment = 1.7 μB/f.u.

***

Record 11
The following is a DFT calculation (PBE) of a geometry-optimized LiRe2Ir structure.

Structure (extended XYZ):
```
4
Lattice="2.674 0.000 0.000 0.000 4.183 0.000 -0.767 0.000 5.005" Properties=species:S:1:pos:R:3 pbc="T T T"
Li 0.000 0.000 0.000
Re 0.923 0.000 2.472
Re 1.668 2.091 1.138
Ir -0.330 2.091 3.825
```

Calculated values
formation energy from the elements = 0.2 eV/f.u.
SG = Pm, No. 6
DOS at the Fermi energy = 1.8 states/eV per cell
total energy = -8.876 eV per atom
total moment = 0.0 μB/f.u.

***

Record 12
The following is a DFT calculation (PBE) of a geometry-optimized Na4H structure.

Structure (extended XYZ):
```
5
Lattice="5.124 0.000 0.000 0.000 5.124 0.000 0.000 0.000 5.124" Properties=species:S:1:pos:R:3 pbc="T T T"
Na 0.000 0.000 0.000
Na 0.000 2.562 2.562
Na 2.562 0.000 2.562
Na 2.562 2.562 0.000
H 2.562 2.562 2.562
```

Calculated values
SG = Pm-3m, No. 221
DOS at the Fermi energy = 2.2 states/eV per cell
total energy = -1.683 eV per atom
total moment = 0.0 μB/f.u.

***

> total energy of number 6 (CePu2SeO4)?

-10.165 eV per atom

***

> Look up the total energy of the seventh one.

-3.668 eV per atom

***

> What is the total moment in the first record?

0.0 μB/f.u.